P | # In2BiBr6

In2BiBr6 after structural relaxation (PBE, Alexandria).

```
In2BiBr6
1.0
-3.0199 -3.8506 1.8640
-4.6281 0.8518 -5.7383
7.9246 -3.6916 -2.1405
In Br Bi
2 6 1
Cartesian
2.7365 -3.4651 -2.7213
-2.4599 -3.2253 -3.2935
2.8505 -4.9609 -5.6276
-2.5740 -1.7295 -0.3872
0.1283 -5.2803 -3.3421
2.4958 -5.7161 -0.4066
0.1482 -1.4101 -2.6728
-2.2193 -0.9744 -5.6082
0.0000 0.0000 0.0000
```

Q | # In2BiBr6

In2BiBr6 after structural relaxation (PBE, Alexandria).

```
In2BiBr6
1.0
6.2147 0.0260 0.0251
1.9122 10.2926 -1.2958
1.9122 -0.9616 10.3291
In Br Bi
4 12 2
Cartesian
5.1742 4.6467 2.2058
4.8650 4.7102 6.8526
7.9723 7.0146 4.4983
2.0668 2.3423 4.5602
2.0364 4.6834 2.4678
5.4622 6.7273 0.0595
5.5263 1.9475 0.5256
2.4189 0.5755 1.9169
4.8954 6.7257 4.4449
8.0028 4.6735 6.5907
4.5770 2.6296 8.9989
2.3548 0.2645 6.7092
7.6202 8.7814 7.1416
4.5128 7.4094 8.5329
5.1437 2.6312 4.6136
7.6843 9.0924 2.3493
6.5732 9.2494 -0.1793
3.4659 0.1075 9.2377
```

Most stable to least stable, the ends of the list are Q and P.

P | # InBi3Br

InBi3Br after structural relaxation (PBE, Alexandria).

```
InBi3Br
1.0
-4.6599 -3.4613 0.0285
0.2313 -0.2637 5.7943
-3.4537 4.6525 0.3496
Bi Br In
3 1 1
Cartesian
0.1156 -0.1319 2.8971
-2.3300 -1.7307 0.0142
-1.7269 2.3263 0.1748
-3.9412 0.4637 3.0862
0.0000 0.0000 0.0000
```

Q | # InBi3Br

InBi3Br after structural relaxation (PBE, Alexandria).

```
InBi3Br
1.0
-4.9056 -1.7436 2.5053
2.1906 -5.3135 0.5915
2.1255 1.4521 5.1726
Br In Bi
1 1 3
Cartesian
0.0000 0.0000 0.0000
-0.2948 -2.8025 4.1347
1.0627 0.7261 2.5863
1.0953 -2.6567 0.2958
-2.4528 -0.8718 1.2526
```

R | # InBi3Br

InBi3Br after structural relaxation (PBE, Alexandria).

```
InBi3Br
1.0
6.6150 0.8514 0.9776
0.3486 10.4736 -0.1888
0.3486 -1.6256 10.3484
Br Bi In
4 12 4
Cartesian
0.9287 3.4618 8.3389
4.2362 8.2100 5.0632
6.3834 6.2376 2.7983
3.0759 1.4894 6.0740
6.1305 3.1762 4.1256
4.4891 6.4748 7.9132
2.6512 0.3080 2.0443
0.4999 9.7847 3.3987
1.3535 7.2911 10.0626
4.6610 9.3914 9.0929
5.9587 2.4083 1.0747
1.1816 6.5231 7.0116
3.5047 7.2512 0.4896
6.8122 -0.0853 7.7385
3.8074 2.4482 10.6476
2.8230 3.2245 3.2240
2.0023 0.8745 8.6008
5.3098 8.8249 2.5364
5.3098 3.1633 7.4670
2.0023 6.5361 3.6702
```

Most stable to least stable, the ends of the list are R and Q.

P | # InBiIrBr2

InBiIrBr2 after structural relaxation (PBE, Alexandria).

```
InBiIrBr2
1.0
-0.7580 -2.4204 4.5288
-4.5078 -2.2778 -1.9718
2.7829 -4.0409 -1.6939
Br In Bi Ir
2 1 1 1
Cartesian
1.3914 -2.0204 -0.8470
-0.3790 -1.2102 2.2644
-1.2414 -4.3696 0.4315
-2.2539 -1.1389 -0.9859
0.0000 0.0000 0.0000
```

Q | # InBiIrBr2

InBiIrBr2 after structural relaxation (PBE, Alexandria).

```
InBiIrBr2
1.0
5.1146 0.0000 0.0000
0.0000 5.3878 0.0000
0.0000 0.0000 5.1146
Bi Br In Ir
1 2 1 1
Cartesian
2.5573 2.6939 2.5573
2.5573 0.0000 0.0000
0.0000 0.0000 2.5573
0.0000 2.6939 0.0000
0.0000 0.0000 0.0000
```

Most stable to least stable, the ends of the list are P and Q.

P | # InSi2BiBr

InSi2BiBr after structural relaxation (PBE, Alexandria).

```
InSi2BiBr
1.0
5.4936 0.0000 0.0000
0.0000 5.9833 0.0000
0.0000 0.0000 5.4936
Si Bi In Br
2 1 1 1
Cartesian
2.7468 0.0000 0.0000
0.0000 0.0000 2.7468
0.0000 0.0000 0.0000
2.7468 2.9916 2.7468
0.0000 2.9916 0.0000
```

Q | # InSi2BiBr

InSi2BiBr after structural relaxation (PBE, Alexandria).

```
InSi2BiBr
1.0
5.1180 0.0000 0.0000
0.0000 6.1395 0.0000
0.0000 0.0000 5.1180
Bi Br Si In
1 1 2 1
Cartesian
0.0000 3.0698 0.0000
2.5590 3.0698 2.5590
2.5590 0.0000 0.0000
0.0000 0.0000 2.5590
0.0000 0.0000 0.0000
```

Most stable to least stable, the ends of the list are P and Q.

P | # BiIrBr2

BiIrBr2 after structural relaxation (PBE, Alexandria).

```
BiIrBr2
1.0
3.4910 -0.7158 9.3934
2.8585 -4.2751 8.6307
6.0261 -2.6939 7.5740
Br Bi Ir
2 1 1
Cartesian
1.4619 -0.9078 3.0237
10.9138 -6.7770 22.5743
0.0000 0.0000 0.0000
6.1878 -3.8424 12.7990
```

Q | # BiIrBr2

BiIrBr2 after structural relaxation (PBE, Alexandria).

```
BiIrBr2
1.0
0.0000 3.5619 3.5619
3.5619 0.0000 3.5619
3.5619 3.5619 0.0000
Ir Br Bi
1 2 1
Cartesian
0.0000 0.0000 0.0000
5.3429 5.3429 5.3429
1.7810 1.7810 1.7810
3.5619 3.5619 3.5619
```

R | # BiIrBr2

BiIrBr2 after structural relaxation (PBE, Alexandria).

```
BiIrBr2
1.0
10.4740 0.0000 0.0000
0.0000 10.4740 0.0000
5.2370 5.2370 2.5874
Bi Br Ir
2 4 2
Cartesian
10.4740 5.2370 1.2937
0.0000 0.0000 0.0000
5.2132 2.6185 0.6468
5.2608 7.8555 0.6468
13.0925 10.4502 1.9405
7.8555 10.4978 1.9405
5.2370 10.4740 1.2937
5.2370 5.2370 0.0000
```

Most stable to least stable, the ends of the list are R and Q.

P | # BiIr2BrN

BiIr2BrN after structural relaxation (PBE, Alexandria).

```
BiIr2BrN
1.0
5.1890 0.0000 0.0000
0.0000 4.4110 0.0000
0.0000 0.0000 5.1890
Ir N Bi Br
2 1 1 1
Cartesian
2.5945 0.0000 0.0000
0.0000 0.0000 2.5945
0.0000 2.2055 0.0000
0.0000 0.0000 0.0000
2.5945 2.2055 2.5945
```

Q | # BiIr2BrN

BiIr2BrN after structural relaxation (PBE, Alexandria).

```
BiIr2BrN
1.0
4.0404 0.0000 0.0000
0.0000 5.8263 0.0000
0.0000 0.0000 4.0404
Ir Bi N Br
2 1 1 1
Cartesian
0.0000 0.0000 2.0202
2.0202 0.0000 0.0000
0.0000 2.9132 0.0000
0.0000 0.0000 0.0000
2.0202 2.9132 2.0202
```

Most stable to least stable, the ends of the list are Q and P.

P | # K2BiBr4

K2BiBr4 after structural relaxation (PBE, Alexandria).

```
K2BiBr4
1.0
6.0138 0.0000 0.0000
0.0000 6.0138 0.0000
3.0069 3.0069 8.2423
Bi Br K
1 4 2
Cartesian
0.0000 0.0000 0.0000
3.0069 0.0000 0.0000
3.0069 3.0069 5.3456
6.0138 6.0138 2.8967
0.0000 3.0069 0.0000
6.0138 6.0138 6.0910
3.0069 3.0069 2.1513
```

Q | # K2BiBr4

K2BiBr4 after structural relaxation (PBE, Alexandria).

```
K2BiBr4
1.0
8.0299 0.0000 0.0000
0.0000 8.0299 0.0000
-4.0150 -4.0150 4.2786
Br Bi K
4 1 2
Cartesian
6.0493 1.9806 0.0039
1.9806 6.0493 0.0039
-2.0344 -2.0344 4.2747
2.0344 2.0344 4.2747
4.0150 4.0150 0.0000
0.0000 4.0150 2.1393
4.0150 0.0000 2.1393
```

Most stable to least stable, the ends of the list are Q and P.

P | # KBiBr2

KBiBr2 after structural relaxation (PBE, Alexandria).

```
KBiBr2
1.0
-3.3825 -1.7848 4.1428
-3.8125 3.5026 2.2329
-5.4912 -0.8055 -0.9938
Bi Br K
1 2 1
Cartesian
-6.3431 0.4561 2.6910
-3.1716 0.2281 1.3455
-9.5147 0.6842 4.0365
0.0000 0.0000 0.0000
```

Q | # KBiBr2

KBiBr2 after structural relaxation (PBE, Alexandria).

```
KBiBr2
1.0
6.0783 0.0000 0.0000
0.0000 6.0783 0.0000
3.0391 3.0391 9.3436
Bi Br K
2 4 2
Cartesian
0.0000 0.0000 0.0000
6.0783 3.0391 4.6718
4.8815 1.5196 2.3359
4.5587 4.2359 7.0077
7.5978 7.9206 7.0077
1.1968 4.5587 2.3359
3.0391 3.0391 0.0000
3.0391 6.0783 4.6718
```

R | # KBiBr2

KBiBr2 after structural relaxation (PBE, Alexandria).

```
KBiBr2
1.0
2.3486 0.0000 10.0355
-1.1743 2.0340 10.0355
-1.1743 -2.0340 10.0355
Bi Br K
1 2 1
Cartesian
0.0000 0.0000 0.0000
0.0000 0.0000 27.2458
0.0000 0.0000 2.8608
0.0000 0.0000 15.0533
```

S | # KBiBr2

KBiBr2 after structural relaxation (PBE, Alexandria).

```
KBiBr2
1.0
-6.6169 -8.6982 2.3269
-3.2341 -10.5199 1.9308
-4.1723 -8.9021 5.3104
Br K Bi
2 1 1
Cartesian
-12.7237 -25.5143 8.6814
-1.2995 -2.6058 0.8867
0.0000 0.0000 0.0000
-7.0116 -14.0601 4.7840
```

Most stable to least stable, the ends of the list are R and S.

P | # K2BiBr5

K2BiBr5 after structural relaxation (PBE, Alexandria).

```
K2BiBr5
1.0
-6.6355 4.9065 0.6896
-1.8059 -3.4686 7.2999
6.8487 2.5271 -1.8022
Bi K Br
1 2 5
Cartesian
0.0278 0.0345 0.0233
-1.9977 4.0847 1.4457
0.4179 -0.1041 4.7517
-2.0116 0.4164 1.9971
-2.9331 -1.3551 5.7293
-5.4016 2.9261 2.3507
-6.3239 1.1535 6.0819
-3.0184 2.2024 4.9960
```

Q | # K2BiBr5

K2BiBr5 after structural relaxation (PBE, Alexandria).

```
K2BiBr5
1.0
8.6926 0.0000 0.0000
0.0000 9.2736 0.0000
0.0000 0.0000 13.4653
K Br Bi
8 20 4
Cartesian
5.0098 0.0622 2.2681
0.6635 9.2114 4.4645
3.6828 4.6990 11.1971
8.0291 4.5746 9.0008
5.0098 4.5746 2.2681
8.0291 0.0622 9.0008
0.6635 4.6990 4.4645
3.6828 9.2114 11.1971
2.8339 8.8213 7.6190
3.0571 2.3184 3.9782
3.4115 6.9552 4.1746
5.2811 2.3184 9.2907
2.8339 5.0890 7.6190
7.1802 0.4522 12.5790
7.9944 6.9552 6.5732
5.0445 6.9552 13.3059
7.7578 2.3184 2.5581
7.4034 6.9552 2.7544
5.8587 0.4522 5.8463
0.9348 6.9552 10.9072
1.2892 2.3184 10.7109
5.8587 4.1846 5.8463
5.6355 6.9552 9.4871
7.1802 4.1846 12.5790
1.5124 8.8213 0.8863
0.6982 2.3184 6.8921
1.5124 5.0890 0.8863
3.6481 2.3184 0.1594
3.7667 2.3184 6.7809
4.9259 6.9552 6.6844
0.5796 2.3184 0.0482
8.1130 6.9552 13.4171
```

Most stable to least stable, the ends of the list are Q and P.

P | # KBiBr3

KBiBr3 after structural relaxation (PBE, Alexandria).

```
KBiBr3
1.0
5.8252 0.0000 0.0000
0.0000 5.8252 0.0000
0.0000 0.0000 5.8252
K Br Bi
1 3 1
Cartesian
0.0000 0.0000 0.0000
2.9126 0.0000 0.0000
0.0000 2.9126 0.0000
0.0000 0.0000 2.9126
2.9126 2.9126 2.9126
```

Q | # KBiBr3

KBiBr3 after structural relaxation (PBE, Alexandria).

```
KBiBr3
1.0
-3.3218 -1.9078 1.1500
1.4165 -6.9138 -7.3526
5.6883 -7.0529 4.7438
Br K Bi
6 2 2
Cartesian
-0.6091 -8.8866 -6.1191
2.8232 -12.6290 -2.4643
2.3648 -9.0791 2.0827
-0.1360 -5.6573 0.5216
-1.5657 -5.5216 -3.3131
0.9353 -8.9458 -1.7547
2.8138 -5.7511 1.9335
1.3065 -6.9435 -4.3153
2.4798 -10.8077 -0.4100
-1.6815 -3.7942 -0.8208
```

Most stable to least stable, the ends of the list are Q and P.